## Mn2AlPt3 (PBE-GGA)

Data for Mn2AlPt3 after structural relaxation.

a b c (Å): 6.4666 6.4666 7.1170
angles (deg): 90.00 90.00 143.15
Atoms (fractional coordinates):
Mn 0.0000 0.0000 0.0000
Mn 0.0000 0.0000 0.5000
Mn 0.3335 0.6665 0.0000
Mn 0.6665 0.3335 0.0000
Al 0.3372 0.6628 0.5000
Al 0.6628 0.3372 0.5000
Pt 0.1684 0.8316 0.2634
Pt 0.1684 0.8316 0.7366
Pt 0.5000 0.5000 0.2569
Pt 0.5000 0.5000 0.7431
Pt 0.8316 0.1684 0.2634
Pt 0.8316 0.1684 0.7366

## Properties
The symmetry is Cmmm (65). The crystal system is orthorhombic. The calculation puts the energy of formation from the pure elements at -620.5 meV per atom.



## MnAlPt4 (PBE-GGA)

Data for MnAlPt4 after structural relaxation.

a b c (Å): 5.2590 5.2590 5.2590
angles (deg): 60.00 60.00 60.00
Atoms (fractional coordinates):
Mn 0.0000 0.0000 0.0000
Al 0.2500 0.2500 0.2500
Pt 0.1253 0.6249 0.6249
Pt 0.6249 0.1253 0.6249
Pt 0.6249 0.6249 0.1253
Pt 0.6249 0.6249 0.6249

## Properties
The symmetry is F-43m (216). As for the distance to the lowest polymorph of the same formula: 320 meV per atom. The crystal system is cubic. The calculation puts the energy of formation from the pure elements at -131.6 meV per atom.



## MnAl4Pt2 (PBE-GGA)

Data for MnAl4Pt2 after structural relaxation.

a b c (Å): 7.2402 7.2402 7.2402
angles (deg): 34.16 34.16 34.16
Atoms (fractional coordinates):
Mn 0.0000 0.0000 0.0000
Al 0.1282 0.1282 0.1282
Al 0.3818 0.3818 0.3818
Al 0.6182 0.6182 0.6182
Al 0.8718 0.8718 0.8718
Pt 0.2526 0.2526 0.2526
Pt 0.7474 0.7474 0.7474

## Properties
The symmetry is R-3m (166). The crystal system is trigonal. The calculation puts the energy of formation from the pure elements at -793.2 meV per atom.



## MnAl3Pt4 (PBE-GGA)

Data for MnAl3Pt4 after structural relaxation.

a b c (Å): 7.6541 7.6541 7.6541
angles (deg): 33.07 33.07 33.07
Atoms (fractional coordinates):
Mn 0.0000 0.0000 0.0000
Al 0.2554 0.2554 0.2554
Al 0.5000 0.5000 0.5000
Al 0.7446 0.7446 0.7446
Pt 0.1287 0.1287 0.1287
Pt 0.3839 0.3839 0.3839
Pt 0.6161 0.6161 0.6161
Pt 0.8713 0.8713 0.8713

## Properties
The symmetry is R-3m (166). The crystal system is trigonal. The calculation puts the energy of formation from the pure elements at -843.3 meV per atom.



## MnAlPt4 (PBE-GGA)

Data for MnAlPt4 after structural relaxation.

a b c (Å): 4.5104 4.5104 8.4857
angles (deg): 113.08 113.08 37.37
Atoms (fractional coordinates):
Mn 0.0000 0.0000 0.0000
Al 0.5000 0.5000 0.5000
Pt 0.1438 0.1438 0.3543
Pt 0.3455 0.3455 0.1536
Pt 0.6545 0.6545 0.8464
Pt 0.8562 0.8562 0.6457

## Properties
The symmetry is C2/m (12). As for the distance to the lowest polymorph of the same formula: 0 meV per atom. The crystal system is monoclinic. The calculation puts the energy of formation from the pure elements at -451.4 meV per atom.



## Mn2AlPt (PBE-GGA)

Data for Mn2AlPt after structural relaxation.

a b c (Å): 4.7654 4.7654 4.7654
angles (deg): 132.55 132.55 69.36
Atoms (fractional coordinates):
Mn 0.2500 0.7500 0.5000
Mn 0.7500 0.2500 0.5000
Al 0.0000 0.0000 0.0000
Pt 0.5000 0.5000 0.0000

## Properties
The symmetry is I4/mmm (139). The crystal system is tetragonal. The calculation puts the energy of formation from the pure elements at -346.9 meV per atom.



What did we get for Fermi-level density of states? Answer: 0.30, 0.94, 0.70, 0.33, 0.54, 0.72 states/eV per atom, in the order shown.